# La2BiSe, relaxed, DFT PBE
data_La2BiSe
_cell_length_a 6.9973
_cell_length_b 6.9973
_cell_length_c 14.4180
_cell_angle_alpha 90.00
_cell_angle_beta 90.00
_cell_angle_gamma 90.00
_symmetry_space_group_name_H-M 'I -4 2 d'
_symmetry_Int_Tables_number 122
_symmetry_space_group_name_Hall 'I -4 2bw'
loop_
_atom_site_label
_atom_site_type_symbol
_atom_site_fract_x
_atom_site_fract_y
_atom_site_fract_z
La1 La 0.2226 0.2500 0.1250
Bi1 Bi 0.0000 0.0000 0.5000
Se1 Se 0.0000 0.0000 0.0000
# Raw total energy = -84.86 eV for the cell shown
# ΔE_f (raw) = -0.998 eV/atom